BaTc2Pb: relaxed, PBE-GGA.

The volume comes out at 93.6 Å³ per cell. For the raw total energy, the calculation gives -21.739 eV for the cell shown. The formation energy is 1.16 eV per atom.

a = 5.636 Å, b = 5.636 Å, c = 5.636 Å
α = 133.14°, β = 133.14°, γ = 68.44°
Each line ends with the local moment (μB).
Fractional coordinates of all 4 atoms:
Ba 0.500 0.500 0.000  0.04
Pb 0.750 0.250 0.500  -0.04
Tc 0.000 0.000 0.000  1.70
Tc 0.250 0.750 0.500  1.96

---

ScMo2Ru: relaxed, PBE-GGA.

The volume comes out at 66.6 Å³ per cell. As for the polymorph energy (0 for the lowest one): 0.378 eV/atom. For the raw total energy, the calculation gives -36.196 eV for the cell shown. The formation energy is 0.27 eV per atom.

a = 9.336 Å, b = 9.336 Å, c = 9.336 Å
α = 17.83°, β = 17.83°, γ = 17.83°
Fractional coordinates of all 4 atoms:
Mo 0.994 0.994 0.994
Mo 0.506 0.506 0.506
Ru 0.250 0.250 0.250
Sc 0.750 0.750 0.750

---

CdRe2Ir: relaxed, PBE-GGA.

The volume comes out at 66.3 Å³ per cell. For the raw total energy, the calculation gives -32.646 eV for the cell shown. The formation energy is 0.51 eV per atom.

a = 5.702 Å, b = 5.702 Å, c = 5.702 Å
α = 151.81°, β = 130.39°, γ = 58.04°
Fractional coordinates of all 4 atoms:
Re 0.999 0.999 0.000
Re 0.779 0.279 0.500
Ir 0.225 0.725 0.500
Cd 0.497 0.497 0.000

---

TeBrCl2: relaxed, PBE-GGA.

Its uncorrected formation energy is 0.1708 eV/atom. The volume comes out at 109.3 Å³ per cell. As for the polymorph energy (0 for the lowest one): 0.574 eV/atom. For the raw total energy, the calculation gives -7.825 eV for the cell shown.

a = 9.688 Å, b = 9.688 Å, c = 9.688 Å
α = 21.74°, β = 21.74°, γ = 21.74°
Fractional coordinates of all 4 atoms:
Te 0.500 0.500 0.500
Br 0.000 0.000 0.000
Cl 0.914 0.914 0.914
Cl 0.086 0.086 0.086

---

Mn2SiW: relaxed, PBE-GGA.

Its uncorrected formation energy is -0.0155 eV/atom. The volume comes out at 51.5 Å³ per cell. For the raw total energy, the calculation gives -36.777 eV for the cell shown.

a = 2.651 Å, b = 3.847 Å, c = 5.049 Å
α = 90.00°, β = 90.00°, γ = 90.00°
Each line ends with the local moment (μB).
Fractional coordinates of all 4 atoms:
Mn 0.000 0.000 0.001  1.46
Mn 0.500 0.500 0.264  -1.55
Si 0.000 0.000 0.479  0.02
W 0.500 0.500 0.756  -0.05

---

K4ThNp3Se8: relaxed, PBE-GGA.

Its uncorrected formation energy is -1.3471 eV/atom. The volume comes out at 489.2 Å³ per cell. For the raw total energy, the calculation gives -100.061 eV for the cell shown.

a = 8.566 Å, b = 9.151 Å, c = 8.567 Å
α = 117.92°, β = 120.00°, γ = 90.00°
Each line ends with the local moment (μB).
Fractional coordinates of all 16 atoms:
K 0.500 0.000 0.000  0.00
K 0.500 0.000 0.500  0.00
K 0.000 0.000 0.000  0.00
K 0.000 0.000 0.500  0.00
Th 0.000 0.500 0.000  -0.20
Np 0.500 0.500 0.000  -4.07
Np 0.500 0.500 0.500  -4.07
Np 0.000 0.500 0.500  -4.07
Se 0.236 0.710 0.974  0.04
Se 0.236 0.710 0.472  0.04
Se 0.265 0.296 0.531  0.08
Se 0.738 0.710 0.974  0.04
Se 0.262 0.290 0.026  0.04
Se 0.735 0.704 0.469  0.08
Se 0.764 0.290 0.528  0.04
Se 0.764 0.290 0.026  0.04

---

TbThIn6: relaxed, PBE-GGA.

The volume comes out at 207.0 Å³ per cell. For the raw total energy, the calculation gives -31.609 eV for the cell shown. The formation energy is -0.39 eV per atom.

a = 4.696 Å, b = 4.696 Å, c = 9.384 Å
α = 90.00°, β = 90.00°, γ = 90.00°
Fractional coordinates of all 8 atoms:
Tb 0.000 0.000 0.500
Th 0.000 0.000 0.000
In 0.500 0.500 0.000
In 0.500 0.500 0.500
In 0.500 0.000 0.256
In 0.500 0.000 0.744
In 0.000 0.500 0.256
In 0.000 0.500 0.744

---

TlCd2RuF: relaxed, PBE-GGA.

Its uncorrected formation energy is 0.1308 eV/atom. The volume comes out at 99.6 Å³ per cell. As for the polymorph energy (0 for the lowest one): 0.005 eV/atom. For the raw total energy, the calculation gives -14.690 eV for the cell shown.

a = 4.506 Å, b = 4.907 Å, c = 4.506 Å
α = 90.00°, β = 90.00°, γ = 90.00°
Fractional coordinates of all 5 atoms:
Ru 0.500 0.500 0.500
Tl 0.000 0.500 0.000
F 0.000 0.000 0.000
Cd 0.000 0.000 0.500
Cd 0.500 0.000 0.000